DFT (PBE-GGA) results for a geometry-optimized TlAgAs2Pb structure.

Unit cell a=5.098 b=5.500 c=5.098 alpha=90.00 beta=90.00 gamma=90.00
Atoms (fractional coordinates):
Pb 0.500 0.500 0.500
Tl 0.000 0.500 0.000
As 0.000 0.000 0.500
As 0.500 0.000 0.000
Ag 0.000 0.000 0.000

**Calculated formation energy**: 0.47 eV per atom
**Symmetry**: P4/mmm (123)
**Crystal system**: tetragonal



DFT (PBE-GGA) results for a geometry-optimized Hf2HgW2 structure.

Unit cell a=7.609 b=7.609 c=3.474 alpha=90.00 beta=90.00 gamma=90.00
Atoms (fractional coordinates):
Hf 0.359 0.859 0.000
Hf 0.859 0.641 0.000
Hf 0.641 0.141 0.000
Hf 0.141 0.359 0.000
Hg 0.000 0.000 0.000
Hg 0.500 0.500 0.000
W 0.154 0.654 0.500
W 0.654 0.846 0.500
W 0.846 0.346 0.500
W 0.346 0.154 0.500

**Calculated formation energy**: 0.69 eV per atom
**ΔE to the lowest computed polymorph**: 164 meV per atom
**Symmetry**: P4/mbm (127)
**Crystal system**: tetragonal



DFT (PBE-GGA) results for a geometry-optimized CsTlS2 structure.

Unit cell a=9.557 b=9.557 c=9.557 alpha=24.92 beta=24.92 gamma=24.92
Atoms (fractional coordinates):
Cs 0.000 0.000 0.000
Tl 0.500 0.500 0.500
S 0.885 0.885 0.885
S 0.115 0.115 0.115

**ΔE to the lowest computed polymorph**: 352 meV per atom
**Symmetry**: R-3m (166)
**Crystal system**: trigonal



DFT (PBE-GGA) results for a geometry-optimized Rb3Tl5Se12 structure.

Unit cell a=16.145 b=16.145 c=16.145 alpha=109.47 beta=109.47 gamma=109.47
Atoms (fractional coordinates):
Rb 0.750 0.375 0.125
Rb 0.875 0.750 0.125
Rb 0.375 0.750 0.625
Rb 0.250 0.125 0.375
Rb 0.875 0.125 0.250
Rb 0.375 0.625 0.250
Rb 0.625 0.375 0.750
Rb 0.125 0.875 0.750
Rb 0.750 0.875 0.625
Rb 0.625 0.250 0.375
Rb 0.125 0.250 0.875
Rb 0.250 0.625 0.875
Tl 0.125 0.375 0.250
Tl 0.000 0.500 0.000
Tl 0.000 0.000 0.000
Tl 0.375 0.250 0.125
Tl 0.500 0.000 0.500
Tl 0.500 0.500 0.000
Tl 0.125 0.750 0.375
Tl 0.750 0.125 0.875
Tl 0.750 0.625 0.375
Tl 0.375 0.125 0.750
Tl 0.625 0.875 0.250
Tl 0.500 0.500 0.500
Tl 0.500 0.000 0.000
Tl 0.000 0.000 0.500
Tl 0.250 0.375 0.625
Tl 0.250 0.875 0.125
Tl 0.000 0.500 0.500
Tl 0.875 0.250 0.625
Tl 0.625 0.750 0.875
Tl 0.875 0.625 0.750
Se 0.714 0.054 0.012
Se 0.298 0.512 0.458
Se 0.988 0.446 0.286
Se 0.512 0.214 0.054
Se 0.660 0.714 0.702
Se 0.988 0.542 0.202
Se 0.298 0.786 0.340
Se 0.042 0.840 0.054
Se 0.542 0.988 0.702
Se 0.714 0.660 0.202
Se 0.786 0.488 0.446
Se 0.798 0.958 0.012
Se 0.054 0.714 0.512
Se 0.446 0.458 0.160
Se 0.160 0.958 0.446
Se 0.340 0.054 0.542
Se 0.160 0.202 0.214
Se 0.488 0.702 0.042
Se 0.798 0.840 0.286
Se 0.054 0.340 0.042
Se 0.446 0.988 0.786
Se 0.542 0.554 0.340
Se 0.958 0.798 0.512
Se 0.786 0.298 0.840
Se 0.458 0.446 0.660
Se 0.042 0.202 0.488
Se 0.214 0.702 0.160
Se 0.202 0.160 0.714
Se 0.554 0.012 0.214
Se 0.946 0.660 0.958
Se 0.512 0.298 0.958
Se 0.660 0.946 0.458
Se 0.840 0.798 0.786
Se 0.840 0.042 0.554
Se 0.946 0.286 0.488
Se 0.202 0.042 0.988
Se 0.554 0.542 0.840
Se 0.458 0.012 0.298
Se 0.286 0.340 0.798
Se 0.214 0.512 0.554
Se 0.958 0.160 0.946
Se 0.702 0.214 0.660
Se 0.488 0.786 0.946
Se 0.012 0.458 0.798
Se 0.340 0.286 0.298
Se 0.012 0.554 0.714
Se 0.702 0.488 0.542
Se 0.286 0.946 0.988

**Calculated total energy**: -3.18 eV/atom
**Symmetry**: Ia-3d (230)
**Crystal system**: cubic



DFT (PBE-GGA) results for a geometry-optimized Ac7InSn3 structure.

Unit cell a=6.409 b=8.748 c=8.748 alpha=92.27 beta=111.18 gamma=111.18
Atoms (fractional coordinates):
Ac 0.170 0.170 0.170
Ac 0.331 0.063 0.601
Ac 0.669 0.399 0.937
Ac 0.331 0.601 0.063
Ac 0.000 0.500 0.500
Ac 0.669 0.937 0.399
Ac 0.830 0.830 0.830
In 0.500 0.500 0.500
Sn 0.000 0.766 0.234
Sn 0.500 0.000 0.000
Sn 0.000 0.234 0.766

**Calculated formation energy**: -0.36 eV per atom
**Symmetry**: C2/m (12)
**Crystal system**: monoclinic



DFT (PBE-GGA) results for a geometry-optimized Ba2TlSnTe5 structure.

Unit cell a=4.729 b=11.028 c=13.545 alpha=90.00 beta=90.00 gamma=102.38
Atoms (fractional coordinates):
Ba 0.880 0.760 0.808
Ba 0.117 0.234 0.679
Ba 0.120 0.240 0.308
Ba 0.883 0.766 0.179
Tl 0.774 0.549 0.528
Tl 0.226 0.451 0.028
Sn 0.573 0.147 0.945
Sn 0.427 0.853 0.445
Te 0.364 0.728 0.995
Te 0.693 0.385 0.855
Te 0.504 0.008 0.768
Te 0.282 0.563 0.686
Te 0.957 0.914 0.560
Te 0.636 0.272 0.495
Te 0.307 0.615 0.355
Te 0.496 0.992 0.268
Te 0.718 0.437 0.186
Te 0.043 0.086 0.060

**Calculated total energy**: -3.75 eV/atom
**Symmetry**: Cmc2_1 (36)
**Crystal system**: orthorhombic



Number 3 is which compound?
CsTlS2